--- A ---
## Tb3MoO6 (PBE+U)

Data for an optimized crystal structure of Tb3MoO6.

The value obtained for the size of the total moment is 12.000 μB/cell. Its crystal system is orthorhombic.

It has space group Cmc2_1 (No. 36), with a = 9.0168 Å, b = 11.1233 Å, c = 5.6488 Å, α = 90.00°, β = 90.00° and γ = 90.00°. The inequivalent atoms are Tb at (0.0000, 0.1027, 0.0000), Tb at (0.2077, 0.3821, 0.9479), Mo at (0.0000, 0.3545, 0.4341), O at (0.0000, 0.2784, 0.7735), O at (0.0000, 0.4841, 0.1306), O at (0.1504, 0.2462, 0.2422) and O at (0.1602, 0.0152, 0.7254).



--- B ---
## Tb3MoO6 (PBE+U)

Data for an optimized crystal structure of Tb3MoO6.

The value obtained for the size of the total moment is 18.000 μB/cell. Its crystal system is trigonal.

It has space group R-3 (No. 148, hexagonal axes), with a = 9.6118 Å, b = 9.6118 Å, c = 11.1044 Å, α = 90.00°, β = 90.00° and γ = 120.00°. The inequivalent atoms are Tb at (0.0408, 0.2662, 0.2059), Mo at (0.0000, 0.0000, 0.0000), Mo at (0.0000, 0.0000, 0.5000), O at (0.0272, 0.2132, 0.4040) and O at (0.0280, 0.1859, 0.8763).



Which is the most stable structure? B is the most stable.



--- A ---
## Tc2MoO8 (PBE+U)

Data for an optimized crystal structure of Tc2MoO8.

The value obtained for the size of the total moment is 1.993 μB/cell. Its crystal system is trigonal.

It has space group P-3m1 (No. 164), with a = 5.8700 Å, b = 5.8700 Å, c = 6.6007 Å, α = 90.00°, β = 90.00° and γ = 120.00°. The inequivalent atoms are Tc at (0.3333, 0.6667, 0.2727), Mo at (0.0000, 0.0000, 0.0000), O at (0.1698, 0.3396, 0.1788) and O at (0.3333, 0.6667, 0.5334).



--- B ---
## Tc2MoO8 (PBE+U)

Data for an optimized crystal structure of Tc2MoO8.

The value obtained for the size of the total moment is 3.948 μB/cell. Its crystal system is monoclinic.

It has space group C2/m (No. 12), with a = 9.9619 Å, b = 7.8552 Å, c = 5.3258 Å, α = 90.00°, β = 97.31° and γ = 90.00°. The inequivalent atoms are Tc at (0.2032, 0.0000, 0.1535), Mo at (0.0000, 0.0000, 0.5000), O at (0.1247, 0.1714, 0.3074), O at (0.1251, 0.5000, 0.7755) and O at (0.1485, 0.0000, 0.8215).



Which is the most stable structure? A is the most stable.



--- A ---
## TcMo3O (PBE+U)

Data for an optimized crystal structure of TcMo3O.

The value obtained for the size of the total moment is 10.792 μB/cell. Its crystal system is cubic.

It has space group Pm-3m (No. 221), with a = 5.0071 Å, b = 5.0071 Å, c = 5.0071 Å, α = 90.00°, β = 90.00° and γ = 90.00°. The inequivalent atoms are Tc at (0.0000, 0.0000, 0.0000), Mo at (0.0000, 0.0000, 0.5000) and O at (0.5000, 0.5000, 0.5000).



--- B ---
## TcMo3O (PBE+U)

Data for an optimized crystal structure of TcMo3O.

The value obtained for the size of the total moment is 0.823 μB/cell. Its crystal system is cubic.

It has space group Pm-3m (No. 221), with a = 4.1478 Å, b = 4.1478 Å, c = 4.1478 Å, α = 90.00°, β = 90.00° and γ = 90.00°. The inequivalent atoms are Tc at (0.0000, 0.0000, 0.0000), Mo at (0.0000, 0.5000, 0.5000) and O at (0.5000, 0.5000, 0.5000).



Which is the most stable structure? B is the most stable.